[1]
First-principles (PBE) data for an optimized crystal structure of SrTlSe2, as listed in Alexandria via LeMat-Bulk.

Cell lengths 6.815, 6.815, 4.420 Å; angles 90.00, 90.00, 35.35 degrees
Atoms (fractional coordinates):
1 Sr 0.474 0.474 0.625
2 Tl 0.234 0.234 0.125
3 Se 0.771 0.771 0.625
4 Se 0.021 0.021 0.125

Output
SG = Amm2, No. 38
Formation energy (no corrections) = -1.0934 eV per atom

[2]
First-principles (PBE) data for an optimized crystal structure of SrTl2Se, as listed in Alexandria via LeMat-Bulk.

Cell lengths 4.446, 4.438, 6.495 Å; angles 90.00, 90.00, 90.00 degrees
Atoms (fractional coordinates):
1 Se 0.500 0.000 0.500
2 Sr 0.000 0.500 0.500
3 Tl 0.500 0.500 0.000
4 Tl 0.000 0.000 0.000

Output
SG = P4/mmm, No. 123
Formation energy (no corrections) = -0.6903 eV per atom

[3]
First-principles (PBE) data for an optimized crystal structure of Sr2TlSe, as listed in Alexandria via LeMat-Bulk.

Cell lengths 4.307, 4.307, 9.158 Å; angles 76.44, 76.44, 59.99 degrees
Site moments in Bohr magnetons follow the coordinates.
Atoms (fractional coordinates):
1 Tl 0.750 0.750 0.750  0.08
2 Sr 0.513 0.513 0.462  0.03
3 Sr 0.987 0.987 0.038  0.03
4 Se 0.250 0.250 0.250  0.00

Output
SG = R-3m, No. 166
E above lowest polymorph = 0.00 eV per formula unit
Formation energy (no corrections) = -1.0983 eV per atom

no.,uncorrected energy (eV per atom),DOS at the Fermi energy (states/eV/f.u.)
1,-3.848,1.215
2,-3.165,1.740
3,-3.402,2.788